# 1
Compound: LiSc2Br
Source: the Alexandria database
Functional: GGA-PBE
Structure: optimized geometry

Geometry as POSCAR:
```
LiSc2Br
1.0
3.044 -4.267 0.000
3.044 4.267 0.000
0.000 0.000 3.302
Li Sc Br
1 2 1
direct
0.000 0.000 0.000
0.000 0.500 0.500
0.500 0.000 0.500
0.500 0.500 0.000
```

Energy in eV/cell: -16.831
Size of the total moment in μB/f.u.: 1.3
Formation energy without anion corrections in eV per atom: -0.1452
ρ in g/cm³: 3.42

=====

# 2
Compound: CdFeIr2
Source: the Alexandria database
Functional: GGA-PBE
Structure: optimized geometry

Geometry as POSCAR:
```
CdFeIr2
1.0
2.764 0.000 0.000
0.000 3.882 0.000
-0.011 0.000 5.746
Cd Fe Ir
1 1 2
direct
0.000 0.000 0.000
0.500 0.500 0.714
0.001 0.000 0.515
0.500 0.500 0.276
```

Energy in eV/cell: -26.349
Size of the total moment in μB/f.u.: 3.2
Calculated formation energy in eV/atom: 0.19
ρ in g/cm³: 14.89

=====

# 3
Compound: Na2Ag2S3
Source: the Alexandria database
Functional: GGA-PBE
Structure: optimized geometry

Geometry as POSCAR:
```
Na2Ag2S3
1.0
-4.038 4.038 4.038
4.038 -4.038 4.038
4.038 4.038 -4.038
Na Ag S
4 4 6
direct
0.000 0.343 0.500
0.157 0.157 0.157
0.343 0.500 0.000
0.500 0.000 0.343
0.000 0.847 0.500
0.500 0.000 0.847
0.653 0.653 0.653
0.847 0.500 0.000
0.114 0.750 0.864
0.250 0.636 0.386
0.386 0.250 0.636
0.636 0.386 0.250
0.750 0.864 0.114
0.864 0.114 0.750
```

Energy in eV/cell: -46.151
Size of the total moment in μB/f.u.: 0.0
Formation energy without anion corrections in eV per atom: -0.3361
ρ in g/cm³: 4.51

=====

# 4
Compound: CdPRh2
Source: the Alexandria database
Functional: GGA-PBE
Structure: optimized geometry

Geometry as POSCAR:
```
CdPRh2
1.0
3.075 0.000 0.000
0.000 3.540 0.000
-1.469 0.000 5.864
Cd P Rh
1 1 2
direct
0.000 0.000 0.000
0.500 0.000 0.500
0.374 0.500 0.709
0.626 0.500 0.291
```

Energy in eV/cell: -22.163
Size of the total moment in μB/f.u.: 0.0
Calculated formation energy in eV/atom: -0.28
ρ in g/cm³: 9.08

=====

# 5
Compound: Cs2CeCuBr6
Source: the Alexandria database
Functional: GGA-PBE
Structure: optimized geometry

Geometry as POSCAR:
```
Cs2CeCuBr6
1.0
8.006 0.000 0.000
-4.003 6.934 0.000
0.000 0.000 6.689
Cs Ce Cu Br
2 1 1 6
direct
0.333 0.667 0.236
0.667 0.333 0.764
0.000 0.000 0.500
0.000 0.000 0.000
0.165 0.329 0.767
0.165 0.835 0.767
0.329 0.165 0.233
0.671 0.835 0.767
0.835 0.165 0.233
0.835 0.671 0.233
```

Energy in eV/cell: -36.796
Size of the total moment in μB/f.u.: 1.0
Formation energy without anion corrections in eV per atom: -1.5021
ρ in g/cm³: 4.24

=====

# 6
Compound: AcEuAlTl
Source: the Alexandria database
Functional: GGA-PBE
Structure: optimized geometry

Geometry as POSCAR:
```
AcEuAlTl
1.0
0.000 3.987 3.987
3.987 0.000 3.987
3.987 3.987 0.000
Ac Eu Al Tl
1 1 1 1
direct
0.000 0.000 0.000
0.500 0.500 0.500
0.250 0.250 0.250
0.750 0.750 0.750
```

Energy in eV/cell: -21.608
Size of the total moment in μB/f.u.: 7.4
Calculated formation energy in eV/atom: -0.28
ρ in g/cm³: 8.00

=====

# 7
Compound: CaPr2Sm
Source: the Alexandria database
Functional: GGA-PBE
Structure: optimized geometry

Geometry as POSCAR:
```
CaPr2Sm
1.0
12.253 0.000 0.000
0.000 1.861 3.220
0.000 -1.861 3.220
Ca Pr Sm
1 2 1
direct
0.000 0.000 0.000
0.261 0.666 0.666
0.739 0.666 0.666
0.500 0.332 0.332
```

Energy in eV/cell: -16.176
Size of the total moment in μB/f.u.: 0.0
Calculated formation energy in eV/atom: 0.03
ρ in g/cm³: 5.34

=====

# 8
Compound: OF3
Source: the Alexandria database
Functional: GGA-PBE
Structure: optimized geometry

Geometry as POSCAR:
```
OF3
1.0
1.247 0.720 8.311
-1.247 0.720 8.311
0.000 -1.440 8.311
O F
1 3
direct
0.000 0.000 0.000
0.064 0.064 0.064
0.500 0.500 0.500
0.936 0.936 0.936
```

Energy in eV/cell: -7.746
Size of the total moment in μB/f.u.: 0.0
Formation energy without anion corrections in eV per atom: 0.7067
ρ in g/cm³: 2.71

=====

# 9
Compound: Ba2InGePt
Source: the Alexandria database
Functional: GGA-PBE
Structure: optimized geometry

Geometry as POSCAR:
```
Ba2InGePt
1.0
6.253 0.000 0.000
0.000 6.253 0.000
0.000 0.000 4.731
Ba In Ge Pt
2 1 1 1
direct
0.000 0.500 0.000
0.500 0.000 0.000
0.000 0.000 0.500
0.500 0.500 0.500
0.500 0.500 0.000
```

Energy in eV/cell: -19.622
Size of the total moment in μB/f.u.: 0.0
Calculated formation energy in eV/atom: -0.48
ρ in g/cm³: 5.90

=====

# 10
Compound: HoVPd6
Source: the Alexandria database
Functional: GGA-PBE
Structure: optimized geometry

Geometry as POSCAR:
```
HoVPd6
1.0
4.003 0.000 0.000
0.000 4.003 0.000
0.000 0.000 8.000
Ho V Pd
1 1 6
direct
0.000 0.000 0.000
0.000 0.000 0.500
0.000 0.500 0.268
0.000 0.500 0.732
0.500 0.000 0.268
0.500 0.000 0.732
0.500 0.500 0.000
0.500 0.500 0.500
```

Energy in eV/cell: -49.362
Size of the total moment in μB/f.u.: 0.6
Calculated formation energy in eV/atom: -0.56
ρ in g/cm³: 11.07

=====

# 11
Compound: Li4Pm3NpSe8
Source: the Alexandria database
Functional: GGA-PBE
Structure: optimized geometry

Geometry as POSCAR:
```
Li4Pm3NpSe8
1.0
4.165 2.405 6.521
-4.165 2.405 6.521
0.000 -4.809 6.521
Li Pm Np Se
4 3 1 8
direct
0.000 0.000 0.000
0.000 0.500 0.500
0.500 0.000 0.500
0.500 0.500 0.000
0.000 0.000 0.500
0.000 0.500 0.000
0.500 0.000 0.000
0.500 0.500 0.500
0.249 0.249 0.744
0.249 0.744 0.249
0.253 0.253 0.253
0.256 0.751 0.751
0.744 0.249 0.249
0.747 0.747 0.747
0.751 0.256 0.751
0.751 0.751 0.256
```

Energy in eV/cell: -87.407
Size of the total moment in μB/f.u.: 4.0
Formation energy without anion corrections in eV per atom: -1.5427
ρ in g/cm³: 5.64